# 1
Density functional theory data (PBE) for TcNi2 after structural relaxation.

a b c (Å): 4.736 4.736 4.736
angles (deg): 104.76 104.76 119.37
Positions (direct):
Tc  0.250  0.250  0.000
Tc  0.750  0.750  0.000
Ni  0.138  0.638  0.776
Ni  0.362  0.138  0.500
Ni  0.638  0.862  0.500
Ni  0.862  0.362  0.224

Calculated values
density of states at the Fermi level	4.24	states/eV/f.u.
energy above the lowest structure with this stoichiometry	1.38	eV per formula unit
DFT formation energy	421	meV/atom

***

# 2
Density functional theory data (PBE) for Tb3NpO6F2 after structural relaxation.

a b c (Å): 4.732 6.756 6.839
angles (deg): 119.60 87.41 90.00
Last column: magnetic moment on the atom in μB.
Positions (direct):
Tb  0.000  0.500  0.000  0.00
Tb  0.500  0.500  0.500  0.00
Tb  0.500  0.000  0.500  0.00
Np  0.500  0.000  0.000  2.20
O  0.726  0.323  0.154  -0.04
O  0.274  0.677  0.846  -0.04
O  0.704  0.836  0.672  -0.04
O  0.296  0.164  0.328  -0.04
O  0.274  0.169  0.846  -0.04
O  0.726  0.831  0.154  -0.04
F  0.239  0.670  0.340  0.00
F  0.761  0.330  0.660  0.00

Calculated values
density of states at the Fermi level	7.52	states/eV/f.u.
formation energy from raw total energies	-3.349	eV per atom

***

# 3
Density functional theory data (PBE) for CaCdRe2 after structural relaxation.

a b c (Å): 2.751 2.751 9.891
angles (deg): 90.00 90.00 104.70
Positions (direct):
Re  0.000  0.000  0.992
Re  0.000  0.000  0.508
Ca  0.500  0.500  0.250
Cd  0.500  0.500  0.750

Calculated values
density of states at the Fermi level	2.26	states/eV/f.u.
DFT formation energy	744	meV/atom